Computed, not measured: LaScSi4 at its PBEsol-relaxed geometry at the meta-GGA SCAN level of DFT.

Lattice parameters (Å, degrees): 5.2842 5.2842 5.2842 60.00 60.00 60.00
With the nearest neighbours (Å) after each atom.
Element x y z (fractional)
La 0.7500 0.7500 0.7500  12 Si 3.11, 4 Sc 3.24
Sc 0.0000 0.0000 0.0000  12 Si 3.09, 4 La 3.24
Si 0.3716 0.3716 0.3716  6 Si 2.57-2.71
Si 0.3716 0.3716 0.8853  6 Si 2.57-2.71
Si 0.8853 0.3716 0.3716  6 Si 2.57-2.71
Si 0.3716 0.8853 0.3716  6 Si 2.57-2.71

Values from the calculation:
- ρ (g cm⁻³) = 4.71
- D(E_F) (states/eV/f.u.) = 4.6
- formation energy without anion corrections (eV/atom) = -0.205
- space group = F-43m, No. 216